No. 1
VASP calculation (PBE) on a geometry-optimized SnHg2Br4 structure.

Properties
**Total magnetic moment**: 0.00 μB/cell
**N(E_F)**: 0.0409 states/eV per atom
**Uncorrected energy**: -2.050 eV per atom
**Crystal system**: tetragonal
**Formation energy from raw total energies**: -10.06 kcal/mol of atoms

Geometry as POSCAR:
```
SnHg2Br4
1.0
-3.1051 3.1051 6.7809
3.1051 -3.1051 6.7809
3.1051 3.1051 -6.7809
Sn Hg Br
1 2 4
Direct
0.0000 0.0000 0.0000
0.4021 0.4021 0.0000
0.5979 0.5979 0.0000
0.0000 0.5000 0.5000
0.2109 0.2109 0.0000
0.5000 0.0000 0.5000
0.7891 0.7891 0.0000
```


No. 2
VASP calculation (PBE) on a geometry-optimized Sn2Hg2Br structure.

Properties
**Total magnetic moment**: 0.00 μB/cell
**N(E_F)**: 0.4643 states/eV per atom
**Distance to the lowest polymorph of the same formula**: 0.41 eV per formula unit
**Uncorrected energy**: -2.062 eV per atom
**Crystal system**: tetragonal
**Formation energy from raw total energies**: -0.13 kcal/mol of atoms

Geometry as POSCAR:
```
Sn2Hg2Br
1.0
-2.1650 2.1650 7.9623
2.1650 -2.1650 7.9623
2.1650 2.1650 -7.9623
Sn Hg Br
2 2 1
Direct
0.2500 0.7500 0.5000
0.7500 0.2500 0.5000
0.0937 0.0937 0.0000
0.9063 0.9063 0.0000
0.5000 0.5000 0.0000
```


No. 3
VASP calculation (PBE) on a geometry-optimized Sn2HgBr2 structure.

Properties
**Total magnetic moment**: 0.00 μB/cell
**N(E_F)**: 0.1503 states/eV per atom
**Distance to the lowest polymorph of the same formula**: 0.00 eV per formula unit
**Uncorrected energy**: -2.639 eV per atom
**Crystal system**: tetragonal
**Formation energy from raw total energies**: -7.12 kcal/mol of atoms

Geometry as POSCAR:
```
Sn2HgBr2
1.0
7.5899 0.0000 0.0000
0.0000 7.5899 0.0000
0.0000 0.0000 5.5850
Sn Hg Br
4 2 4
Direct
0.1414 0.3586 0.0000
0.3586 0.8586 0.0000
0.6414 0.1414 0.0000
0.8586 0.6414 0.0000
0.0000 0.0000 0.0000
0.5000 0.5000 0.0000
0.1939 0.3061 0.5000
0.3061 0.8061 0.5000
0.6939 0.1939 0.5000
0.8061 0.6939 0.5000
```


No. 4
VASP calculation (PBE) on a geometry-optimized Sn2HgBr structure.

Properties
**Total magnetic moment**: 0.00 μB/cell
**N(E_F)**: 0.8515 states/eV per atom
**Distance to the lowest polymorph of the same formula**: 0.00 eV per formula unit
**Uncorrected energy**: -2.452 eV per atom
**Crystal system**: cubic
**Formation energy from raw total energies**: 0.99 kcal/mol of atoms

Geometry as POSCAR:
```
Sn2HgBr
1.0
0.0000 3.7697 3.7697
3.7697 0.0000 3.7697
3.7697 3.7697 0.0000
Sn Hg Br
2 1 1
Direct
0.2500 0.2500 0.2500
0.7500 0.7500 0.7500
0.0000 0.0000 0.0000
0.5000 0.5000 0.5000
```


No. 5
VASP calculation (PBE) on a geometry-optimized SnHg2Br structure.

Properties
**Total magnetic moment**: 0.00 μB/cell
**N(E_F)**: 0.7371 states/eV per atom
**Distance to the lowest polymorph of the same formula**: 0.17 eV per formula unit
**Uncorrected energy**: -1.621 eV per atom
**Crystal system**: tetragonal
**Formation energy from raw total energies**: -1.17 kcal/mol of atoms

Geometry as POSCAR:
```
SnHg2Br
1.0
-3.4074 3.4074 6.6488
3.4074 -3.4074 6.6488
3.4074 3.4074 -6.6488
Sn Hg Br
2 4 2
Direct
0.0000 0.0000 0.0000
0.7500 0.2500 0.5000
0.0965 0.6250 0.9715
0.3750 0.3465 0.4715
0.6535 0.1250 0.0285
0.8750 0.9035 0.5285
0.2500 0.7500 0.5000
0.5000 0.5000 0.0000
```


No. 6
VASP calculation (PBE) on a geometry-optimized Sn2Hg2Br structure.

Properties
**Total magnetic moment**: 0.00 μB/cell
**N(E_F)**: 0.4515 states/eV per atom
**Distance to the lowest polymorph of the same formula**: 0.41 eV per formula unit
**Uncorrected energy**: -2.061 eV per atom
**Crystal system**: tetragonal
**Formation energy from raw total energies**: -0.11 kcal/mol of atoms

Geometry as POSCAR:
```
Sn2Hg2Br
1.0
-2.1929 2.1929 7.4682
2.1929 -2.1929 7.4682
2.1929 2.1929 -7.4682
Sn Hg Br
2 2 1
Direct
0.1018 0.1018 0.0000
0.8982 0.8982 0.0000
0.2500 0.7500 0.5000
0.7500 0.2500 0.5000
0.5000 0.5000 0.0000
```


No. 7
VASP calculation (PBE) on a geometry-optimized Sn2HgBr2 structure.

Properties
**Total magnetic moment**: 0.00 μB/cell
**N(E_F)**: 0.3804 states/eV per atom
**Distance to the lowest polymorph of the same formula**: 0.33 eV per formula unit
**Uncorrected energy**: -2.574 eV per atom
**Crystal system**: tetragonal
**Formation energy from raw total energies**: -5.61 kcal/mol of atoms

Geometry as POSCAR:
```
Sn2HgBr2
1.0
-3.0495 3.0495 4.5747
3.0495 -3.0495 4.5747
3.0495 3.0495 -4.5747
Sn Hg Br
2 1 2
Direct
0.1802 0.1802 0.0000
0.8198 0.8198 0.0000
0.5000 0.5000 0.0000
0.2500 0.7500 0.5000
0.7500 0.2500 0.5000
```


No. 8
VASP calculation (PBE) on a geometry-optimized Sn2Hg2Br structure.

Properties
**Total magnetic moment**: 0.00 μB/cell
**N(E_F)**: 0.4571 states/eV per atom
**Distance to the lowest polymorph of the same formula**: 0.43 eV per formula unit
**Uncorrected energy**: -2.058 eV per atom
**Crystal system**: tetragonal
**Formation energy from raw total energies**: -0.03 kcal/mol of atoms

Geometry as POSCAR:
```
Sn2Hg2Br
1.0
8.8257 0.0000 0.0000
0.0000 8.8257 0.0000
0.0000 0.0000 3.6051
Sn Hg Br
4 4 2
Direct
0.1280 0.3720 0.0000
0.3720 0.8720 0.0000
0.6280 0.1280 0.0000
0.8720 0.6280 0.0000
0.1714 0.6714 0.5000
0.3286 0.1714 0.5000
0.6714 0.8286 0.5000
0.8286 0.3286 0.5000
0.0000 0.0000 0.5000
0.5000 0.5000 0.5000
```